Version a
Entry from Alexandria: a relaxed structure of Tl3Cd4Sn4 (PBE).

Values from the calculation:
**Crystal system**: monoclinic
**Fermi-level density of states**: 3.512 states/eV/cell
**Theoretical density**: 8.47 g/cm³
**Magnetization**: 0.000 μB per atom

Cell and atoms, written as POSCAR:
```
Tl3Cd4Sn4
1.0
5.401 -0.010 -0.868
-0.110 3.267 -0.554
-0.041 1.204 16.884
Tl Cd Sn
3 4 4
direct
0.360 0.860 0.721
0.640 0.140 0.279
0.000 0.000 0.000
0.268 0.268 0.537
0.092 0.592 0.184
0.908 0.408 0.816
0.732 0.732 0.463
0.815 0.315 0.630
0.453 0.453 0.905
0.547 0.547 0.095
0.185 0.685 0.370
```

***

Version b
Entry from Alexandria: a relaxed structure of Tl3Cd4Sn4 (PBE).

Values from the calculation:
**Crystal system**: orthorhombic
**Fermi-level density of states**: 3.731 states/eV/cell
**Theoretical density**: 8.17 g/cm³
**Magnetization**: 0.000 μB per atom

Cell and atoms, written as POSCAR:
```
Tl3Cd4Sn4
1.0
-3.889 -2.717 -1.949
-0.895 -3.214 6.266
-3.099 9.121 0.214
Tl Cd Sn
3 4 4
direct
0.103 0.103 0.207
0.897 0.897 0.793
0.000 0.500 0.000
0.195 0.695 0.390
0.805 0.305 0.610
0.500 0.782 0.000
0.500 0.218 0.000
0.329 0.108 0.657
0.671 0.451 0.343
0.671 0.892 0.343
0.329 0.549 0.657
```

***

Winner for stability: version a

***

Version a
Entry from Alexandria: a relaxed structure of TlCd4Sn2 (PBE).

Values from the calculation:
**Crystal system**: orthorhombic
**Fermi-level density of states**: 2.730 states/eV/cell
**Theoretical density**: 8.18 g/cm³
**Magnetization**: 0.000 μB per atom

Cell and atoms, written as POSCAR:
```
TlCd4Sn2
1.0
3.247 0.000 0.000
0.000 4.983 -1.282
0.000 0.207 11.133
Tl Sn Cd
1 2 4
direct
0.000 0.500 0.000
0.500 0.916 0.832
0.500 0.084 0.168
0.500 0.661 0.323
0.000 0.788 0.576
0.500 0.339 0.677
0.000 0.212 0.424
```

***

Version b
Entry from Alexandria: a relaxed structure of TlCd4Sn2 (PBE).

Values from the calculation:
**Crystal system**: orthorhombic
**Fermi-level density of states**: 2.681 states/eV/cell
**Theoretical density**: 7.83 g/cm³
**Magnetization**: 0.000 μB per atom

Cell and atoms, written as POSCAR:
```
TlCd4Sn2
1.0
-3.794 2.435 1.011
-0.737 -2.686 3.703
5.211 6.833 3.094
Tl Cd Sn
1 4 2
direct
0.000 0.000 0.000
0.500 0.812 0.623
0.000 0.691 0.382
0.500 0.188 0.377
0.000 0.309 0.618
0.500 0.584 0.167
0.500 0.416 0.833
```

***

Winner for stability: version a

***

Version a
Entry from Alexandria: a relaxed structure of TlCdSn6 (PBE).

Values from the calculation:
**Crystal system**: tetragonal
**Fermi-level density of states**: 6.789 states/eV/cell
**Theoretical density**: 7.71 g/cm³
**Magnetization**: 0.000 μB per atom

Cell and atoms, written as POSCAR:
```
TlCdSn6
1.0
-0.067 2.973 -3.939
0.538 -3.911 -2.961
-9.041 -0.866 -0.500
Tl Cd Sn
1 1 6
direct
0.000 0.000 0.000
0.000 0.000 0.500
0.500 0.500 0.000
0.500 0.500 0.500
0.500 0.000 0.260
0.500 0.000 0.740
0.000 0.500 0.260
0.000 0.500 0.740
```

***

Version b
Entry from Alexandria: a relaxed structure of TlCdSn6 (PBE).

Values from the calculation:
**Crystal system**: monoclinic
**Fermi-level density of states**: 2.859 states/eV/cell
**Theoretical density**: 7.66 g/cm³
**Magnetization**: 0.000 μB per atom

Cell and atoms, written as POSCAR:
```
TlCdSn6
1.0
-5.410 2.111 -2.699
-0.684 -5.156 4.845
1.211 5.752 2.254
Tl Cd Sn
1 1 6
direct
0.000 0.000 0.500
0.000 0.000 0.000
0.498 0.000 0.252
0.513 0.526 0.763
0.502 0.000 0.748
0.013 0.526 0.763
0.487 0.474 0.237
0.987 0.474 0.237
```

***

Winner for stability: version b